Version a
Material: Al2SiPb2
Method: DFT, PBE
State: relaxed

The spin magnetization is 0.00 Bohr magnetons per cell. As for the calculated volume: 24.74 A^3/atom.

The structure belongs to space group P4/mbm (No. 127); the cell edges are 8.522, 8.522 and 3.406 Å and the angles 90.00°, 90.00° and 90.00°. The asymmetric unit holds Al at (0.112, 0.388, 0.000), Si at (0.000, 0.000, 0.500) and Pb at (0.187, 0.687, 0.500).


Version b
Material: Al2SiPb2
Method: DFT, PBE
State: relaxed

The spin magnetization is 0.00 Bohr magnetons per cell. As for the calculated volume: 24.62 A^3/atom.

The structure belongs to space group I4/mmm (No. 139); the cell edges are 3.761, 3.761 and 17.403 Å and the angles 90.00°, 90.00° and 90.00°. The asymmetric unit holds Al at (0.000, 0.500, 0.250), Si at (0.000, 0.000, 0.000) and Pb at (0.000, 0.000, 0.403).


Name the least stable of them. version a.